Entry 1:
Here is a relaxed ThAlIr crystal from the Open Quantum Materials Database. Energies are from GGA-PBE.

abc: 7.0222 7.0222 4.3300
angles: 90.00 90.00 120.00
Last column: nearest neighbours and their distance in Å.
Sites, in units of the cell vectors:
1 Al 0.3333 0.6667 0.0000  3 Ir 2.72, 6 Th 3.00
2 Al 0.6667 0.3333 0.0000  3 Ir 2.72, 6 Th 3.00
3 Al 0.0000 0.0000 0.5000  6 Ir 2.75, 3 Th 3.04
4 Th 0.0000 0.5674 0.5000  5 Al 3.00-3.04, 2 Ir 3.15
5 Th 0.4326 0.4326 0.5000  5 Al 3.00-3.04, 2 Ir 3.15
6 Th 0.5674 0.0000 0.5000  5 Al 3.00-3.04, 2 Ir 3.15
7 Ir 0.0000 0.2414 0.0000  4 Al 2.72-2.75, 2 Ir 2.94
8 Ir 0.7586 0.7586 0.0000  4 Al 2.72-2.75, 2 Ir 2.94
9 Ir 0.2414 0.0000 0.0000  4 Al 2.72-2.75, 2 Ir 2.94

calculated total energy = -65.8 eV/cell

---

Entry 2:
Here is a relaxed ThAlIr crystal from the Open Quantum Materials Database. Energies are from GGA-PBE.

abc: 8.2822 8.2822 3.1302
angles: 90.00 90.00 120.00
Last column: nearest neighbours and their distance in Å.
Sites, in units of the cell vectors:
1 Ir 0.0000 0.6220 0.5000  5 Al 3.03-3.13, 6 Th 3.08-3.27, 2 Ir 3.13
2 Ir 0.6220 0.0000 0.5000  5 Al 3.03-3.13, 6 Th 3.08-3.27, 2 Ir 3.13
3 Ir 0.3780 0.3780 0.5000  5 Al 3.03-3.13, 6 Th 3.08-3.27, 2 Ir 3.13
4 Al 0.0000 0.0000 0.5000  6 Th 2.95, 2 Al 3.13, 3 Ir 3.13
5 Al 0.6667 0.3333 0.0000  3 Th 2.90, 6 Ir 3.03, 2 Al 3.13
6 Al 0.3333 0.6667 0.0000  3 Th 2.90, 6 Ir 3.03, 2 Al 3.13
7 Th 0.6982 0.6982 0.0000  4 Al 2.90-2.95, 2 Ir 3.08, 2 Th 3.13
8 Th 0.3018 0.0000 0.0000  4 Al 2.90-2.95, 2 Ir 3.08, 2 Th 3.13
9 Th 0.0000 0.3018 0.0000  4 Al 2.90-2.95, 2 Ir 3.08, 2 Th 3.13

calculated total energy = -61.5 eV/cell

---

Entry 3:
Here is a relaxed AlTlIr crystal from the Open Quantum Materials Database. Energies are from GGA-PBE.

abc: 4.3495 4.3495 4.3495
angles: 60.00 60.00 60.00
Last column: nearest neighbours and their distance in Å.
Sites, in units of the cell vectors:
1 Ir 0.2500 0.2500 0.2500  4 Al 2.66
2 Tl 0.7500 0.7500 0.7500  4 Al 2.66
3 Al 0.0000 0.0000 0.0000  4 Tl 2.66, 4 Ir 2.66

polymorph energy (0 for the lowest one) = 0.0 meV/atom

---

Entry 4:
Here is a relaxed Al2TlIr crystal from the Open Quantum Materials Database. Energies are from GGA-PBE.

abc: 4.6420 4.6420 4.6420
angles: 60.00 60.00 60.00
Last column: nearest neighbours and their distance in Å.
Sites, in units of the cell vectors:
1 Ir 0.5000 0.5000 0.5000  4 Tl 2.84, 4 Al 2.84
2 Al 0.0000 0.0000 0.0000  4 Al 2.84, 4 Tl 2.84
3 Al 0.2500 0.2500 0.2500  4 Al 2.84, 4 Ir 2.84
4 Tl 0.7500 0.7500 0.7500  4 Ir 2.84, 4 Al 2.84

calculated total energy = -17.6 eV/cell

---

Entry 5:
Here is a relaxed Tm2Al8Ir crystal from the Open Quantum Materials Database. Energies are from GGA-PBE.

abc: 4.2592 4.2592 11.1296
angles: 90.00 90.00 90.00
Last column: nearest neighbours and their distance in Å.
Sites, in units of the cell vectors:
1 Al 0.5000 0.0000 0.6226  2 Ir 2.53, 1 Al 2.73
2 Al 0.0000 0.5000 0.0000  4 Tm 3.00, 8 Al 3.01-3.02
3 Al 0.0000 0.5000 0.6226  2 Ir 2.53, 1 Al 2.73
4 Al 0.5000 0.0000 0.0000  4 Tm 3.00, 8 Al 3.01-3.02
5 Al 0.5000 0.5000 0.1927  8 Al 2.96-3.02, 4 Tm 3.01
6 Al 0.5000 0.5000 0.8073  8 Al 2.96-3.02, 4 Tm 3.01
7 Al 0.0000 0.5000 0.3774  2 Ir 2.53, 1 Al 2.73
8 Al 0.5000 0.0000 0.3774  2 Ir 2.53, 1 Al 2.73
9 Tm 0.0000 0.0000 0.8102  12 Al 2.98-3.01
10 Tm 0.0000 0.0000 0.1898  12 Al 2.98-3.01
11 Ir 0.0000 0.0000 0.5000  8 Al 2.53

calculated total energy = -53.8 eV/cell

---

Entry 6:
Here is a relaxed Tm2AlIr3 crystal from the Open Quantum Materials Database. Energies are from GGA-PBE.

abc: 5.5418 5.5418 7.9635
angles: 90.00 90.00 120.00
Last column: nearest neighbours and their distance in Å.
Sites, in units of the cell vectors:
1 Ir 0.8299 0.6598 0.2500  2 Al 2.57, 4 Ir 2.71-2.83
2 Ir 0.6598 0.8299 0.7500  2 Al 2.57, 4 Ir 2.71-2.83
3 Ir 0.1701 0.3402 0.7500  2 Al 2.57, 4 Ir 2.71-2.83
4 Ir 0.3402 0.1701 0.2500  2 Al 2.57, 4 Ir 2.71-2.83
5 Ir 0.1701 0.8299 0.7500  2 Al 2.57, 4 Ir 2.71-2.83
6 Ir 0.8299 0.1701 0.2500  2 Al 2.57, 4 Ir 2.71-2.83
7 Tm 0.3333 0.6667 0.0615  9 Ir 2.93-3.15, 1 Tm 3.00, 3 Al 3.24
8 Tm 0.6667 0.3333 0.5615  9 Ir 2.93-3.15, 1 Tm 3.00, 3 Al 3.24
9 Tm 0.6667 0.3333 0.9385  9 Ir 2.93-3.15, 1 Tm 3.00, 3 Al 3.24
10 Tm 0.3333 0.6667 0.4385  9 Ir 2.93-3.15, 1 Tm 3.00, 3 Al 3.24
11 Al 0.0000 0.0000 0.0000  6 Ir 2.57
12 Al 0.0000 0.0000 0.5000  6 Ir 2.57

calculated total energy = -90.2 eV/cell

---

Entry 7:
Here is a relaxed YTmAl2Ir4 crystal from the Open Quantum Materials Database. Energies are from GGA-PBE.

abc: 4.2838 4.2838 9.1480
angles: 90.00 90.00 120.00
Last column: nearest neighbours and their distance in Å.
Sites, in units of the cell vectors:
1 Tm 0.0000 0.0000 0.0000  8 Ir 2.86-2.99
2 Al 0.6667 0.3333 0.7556  6 Ir 2.58-2.60
3 Al 0.6667 0.3333 0.2444  6 Ir 2.58-2.60
4 Ir 0.0000 0.0000 0.3265  3 Al 2.58
5 Ir 0.3333 0.6667 0.8436  3 Al 2.60, 3 Tm 2.86, 1 Ir 2.86
6 Ir 0.0000 0.0000 0.6735  3 Al 2.58
7 Ir 0.3333 0.6667 0.1564  3 Al 2.60, 3 Tm 2.86, 1 Ir 2.86
8 Y 0.3333 0.6667 0.5000  8 Ir 2.94-3.14

calculated total energy = -59.6 eV/cell

---

Entry 8:
Here is a relaxed UAlIr crystal from the Open Quantum Materials Database. Energies are from GGA-PBE.

abc: 4.5069 4.5069 4.5069
angles: 60.00 60.00 60.00
Last column: nearest neighbours and their distance in Å.
Sites, in units of the cell vectors:
1 U 0.2500 0.2500 0.2500  4 Ir 2.76
2 Al 0.7500 0.7500 0.7500  4 Ir 2.76
3 Ir 0.0000 0.0000 0.0000  4 Al 2.76, 4 U 2.76

calculated total energy = -24.7 eV/cell

---

Question: Number 7 is which compound?
Answer: YTmAl2Ir4